[1]
The following is a PBE-GGA calculation of a relaxed SbTeAu crystal, from Alexandria via LeMat-Bulk.

Values from the calculation:
The uncorrected formation energy is 9.4 kJ per mole of atoms. The density of states at the Fermi level comes out at 0.57 states/eV/atom. The calculation puts the magnetization at 0.0 Bohr magnetons per cell. Its calculated total energy is -10.3 eV per cell.

Structure (POSCAR):
```
SbTeAu
1.0
6.894 -0.010 -0.006
4.625 5.113 0.006
-5.410 -3.340 2.666
Au Sb Te
1 1 1
Direct
0.900 0.900 0.000
0.438 0.438 0.000
0.662 0.662 0.000
```



[2]
The following is a PBE-GGA calculation of a relaxed Ac4HgIr2Pb crystal, from Alexandria via LeMat-Bulk.

Values from the calculation:
The formation energy from the elements comes out at -392 meV/atom. The density of states at the Fermi level comes out at 0.65 states/eV/atom. The calculation puts the magnetization at 0.0 Bohr magnetons per cell. Its calculated total energy is -82.6 eV per cell.

Structure (POSCAR):
```
Ac4HgIr2Pb
1.0
-4.368 -0.111 -1.158
1.157 -5.323 4.970
-3.574 10.842 12.444
Ac Hg Ir Pb
8 2 4 2
Direct
0.277 0.554 0.087
0.723 0.446 0.587
0.723 0.446 0.913
0.277 0.554 0.413
0.000 0.000 0.500
0.000 0.000 0.000
0.474 0.947 0.750
0.526 0.053 0.250
0.821 0.642 0.750
0.179 0.358 0.250
0.370 0.740 0.568
0.630 0.260 0.068
0.630 0.260 0.432
0.370 0.740 0.932
0.160 0.320 0.750
0.840 0.680 0.250
```



[3]
The following is a PBE-GGA calculation of a relaxed Ta4VRu3 crystal, from Alexandria via LeMat-Bulk.

Values from the calculation:
The formation energy from the elements comes out at -334 meV/atom. The density of states at the Fermi level comes out at 0.54 states/eV/atom. The calculation puts the magnetization at 0.0 Bohr magnetons per cell. Its calculated total energy is -87.0 eV per cell.

Structure (POSCAR):
```
Ta4VRu3
1.0
-3.105 -0.210 0.717
0.177 -4.433 -0.532
2.054 -0.952 8.618
Ru V Ta
3 1 4
Direct
0.500 0.000 0.254
0.500 0.500 0.500
0.500 0.000 0.746
0.500 0.500 0.000
0.000 0.000 0.500
0.000 0.500 0.758
0.000 0.000 0.000
0.000 0.500 0.242
```



[4]
The following is a PBE-GGA calculation of a relaxed Mg2CuAs crystal, from Alexandria via LeMat-Bulk.

Values from the calculation:
The formation energy from the elements comes out at -158 meV/atom. The density of states at the Fermi level comes out at 0.42 states/eV/atom. The calculation puts the magnetization at 0.0 Bohr magnetons per cell. Its calculated total energy is -12.6 eV per cell.

Structure (POSCAR):
```
Mg2CuAs
1.0
-0.224 2.561 2.145
-0.961 -2.108 2.417
5.988 -0.850 1.640
As Cu Mg
1 1 2
Direct
0.500 0.500 0.250
0.500 0.500 0.750
0.000 0.000 0.986
0.000 0.000 0.514
```



[5]
The following is a PBE-GGA calculation of a relaxed SrCu2Os2O7 crystal, from Alexandria via LeMat-Bulk.

Values from the calculation:
The uncorrected formation energy is -102.6 kJ per mole of atoms. The density of states at the Fermi level comes out at 0.77 states/eV/atom. The calculation puts the magnetization at 0.8 Bohr magnetons per cell. Its calculated total energy is -79.8 eV per cell.

Structure (POSCAR):
```
SrCu2Os2O7
1.0
3.868 0.000 0.000
0.000 3.868 -0.001
-1.934 -1.936 9.755
Sr Cu Os O
1 2 2 7
Direct
0.000 0.000 0.000
0.250 0.749 0.500
0.750 0.251 0.500
0.393 0.393 0.786
0.607 0.607 0.214
0.397 0.897 0.795
0.710 0.710 0.420
0.103 0.603 0.205
0.603 0.103 0.205
0.290 0.290 0.580
0.897 0.397 0.795
0.500 0.500 0.000
```



[6]
The following is a PBE-GGA calculation of a relaxed YMgBi3 crystal, from Alexandria via LeMat-Bulk.

Values from the calculation:
The formation energy from the elements comes out at -391 meV/atom. The density of states at the Fermi level comes out at 0.41 states/eV/atom. The value obtained for the energy relative to the lowest polymorph listed for this composition is 0 meV/atom. The calculation puts the magnetization at 0.0 Bohr magnetons per cell. Its calculated total energy is -86.6 eV per cell.

Structure (POSCAR):
```
YMgBi3
1.0
-2.506 4.577 3.898
-5.947 -2.416 -0.986
1.598 -8.357 10.841
Y Mg Bi
4 4 12
Direct
0.750 0.497 0.680
0.250 0.503 0.320
0.750 0.997 0.320
0.250 0.003 0.680
0.500 0.250 0.113
0.000 0.750 0.887
0.500 0.750 0.887
0.000 0.250 0.113
0.000 0.250 0.497
0.500 0.750 0.503
0.000 0.750 0.503
0.500 0.250 0.497
0.250 0.170 0.918
0.750 0.830 0.082
0.250 0.670 0.082
0.750 0.330 0.918
0.250 0.495 0.733
0.750 0.505 0.267
0.250 0.995 0.267
0.750 0.005 0.733
```



[7]
The following is a PBE-GGA calculation of a relaxed ZrCd2Au crystal, from Alexandria via LeMat-Bulk.

Values from the calculation:
The formation energy from the elements comes out at -54 meV/atom. The density of states at the Fermi level comes out at 0.84 states/eV/atom. The calculation puts the magnetization at 0.0 Bohr magnetons per cell. Its calculated total energy is -13.9 eV per cell.

Structure (POSCAR):
```
ZrCd2Au
1.0
-1.008 5.080 2.418
-2.132 -0.719 -5.254
-2.417 -1.012 1.119
Au Cd Zr
1 2 1
Direct
0.000 0.500 0.500
0.000 0.000 0.000
0.500 0.500 0.000
0.500 0.000 0.500
```



[8]
The following is a PBE-GGA calculation of a relaxed Ac2AsPb crystal, from Alexandria via LeMat-Bulk.

Values from the calculation:
The formation energy from the elements comes out at -649 meV/atom. The density of states at the Fermi level comes out at 1.30 states/eV/atom. The value obtained for the energy relative to the lowest polymorph listed for this composition is 339 meV/atom. The calculation puts the magnetization at 0.0 Bohr magnetons per cell. Its calculated total energy is -19.2 eV per cell.

Structure (POSCAR):
```
Ac2AsPb
1.0
-0.488 4.027 4.018
-1.946 -1.368 5.190
3.547 0.013 4.474
Pb Ac As
1 2 1
Direct
0.000 0.000 0.000
0.250 0.250 0.250
0.750 0.750 0.750
0.500 0.500 0.500
```